The following is a DFT calculation (PBE) of a geometry-optimized ErGa4Ir2 structure.

Lattice parameters (Å, degrees): 4.2745 6.6142 17.1162 90.00 90.00 90.00
Fractional coordinates of all 28 atoms:
1 Ga 0.7500 0.7725 0.8106
2 Ga 0.2500 0.2725 0.6894
3 Ir 0.2500 0.7425 0.0371
4 Ga 0.2500 0.1505 0.5367
5 Ga 0.7500 0.7275 0.3106
6 Ir 0.2500 0.7575 0.5371
7 Ga 0.2500 0.6840 0.6857
8 Ga 0.7500 0.8495 0.4632
9 Er 0.7500 0.5156 0.1410
10 Ir 0.7500 0.2425 0.4629
11 Er 0.2500 0.0156 0.3590
12 Ga 0.7500 0.6505 0.9632
13 Ir 0.7500 0.0242 0.2150
14 Ga 0.7500 0.1840 0.8143
15 Ir 0.2500 0.9758 0.7850
16 Ga 0.7500 0.5130 0.5681
17 Er 0.2500 0.4844 0.8590
18 Ir 0.7500 0.4758 0.7150
19 Ga 0.2500 0.3495 0.0368
20 Ga 0.7500 0.3160 0.3143
21 Ga 0.2500 0.2275 0.1894
22 Ga 0.2500 0.4870 0.4319
23 Ir 0.7500 0.2575 0.9629
24 Ga 0.7500 0.9870 0.0681
25 Er 0.7500 0.9844 0.6410
26 Ga 0.2500 0.0130 0.9319
27 Ir 0.2500 0.5242 0.2850
28 Ga 0.2500 0.8160 0.1857

Results
* DOS(E_F): 14.1 states/eV/cell
* magnetic moment: 0.000 μB/atom
* calculated formation energy: -60.4 kJ/mol of atoms
* energy above the lowest structure with this stoichiometry: 0.00 eV per formula unit

The following is a DFT calculation (PBE) of a geometry-optimized LiGeC3 structure.

Lattice parameters (Å, degrees): 3.7503 3.7503 3.7503 90.00 90.00 90.00
Fractional coordinates of all 5 atoms:
1 C 0.5000 0.0000 0.0000
2 C 0.0000 0.0000 0.5000
3 Li 0.0000 0.0000 0.0000
4 C 0.0000 0.5000 0.0000
5 Ge 0.5000 0.5000 0.5000

Results
* DOS(E_F): 3.0 states/eV/cell
* magnetic moment: 0.000 μB/atom
* calculated formation energy: 271.9 kJ/mol of atoms
* energy above the lowest structure with this stoichiometry: 2.22 eV per formula unit

The lowest DOS(E_F) belongs to which entry?
LiGeC3